# NiSe3I

An optimized crystal structure of NiSe3I (PBE-GGA, Alexandria).

Structure (extended XYZ):
```
20
Lattice="-5.2237 2.4178 3.2324 -2.1119 -8.8777 3.2274 5.2551 3.4273 5.9290" Properties=species:S:1:pos:R:3 pbc="T T T"
I -0.1252 -4.8463 3.4800
I -2.0155 -1.0882 4.3556
I -0.0651 -1.9444 8.0332
I -1.9553 1.8138 8.9087
Se -1.4291 4.0946 7.1902
Se 0.3306 1.6299 5.5036
Se 1.4852 -4.7234 6.2926
Se -3.4757 -5.3571 4.7720
Se -0.1135 -1.0943 1.1880
Se 1.3952 2.3245 7.6168
Se -2.1579 1.5021 3.0508
Se -0.6514 -7.1271 5.1985
Se 0.0774 -4.5347 9.3379
Se -1.9670 -1.9382 11.2008
Se -2.4111 -4.6625 6.8852
Se -3.5657 1.6909 6.0962
Ni -0.3766 -5.8835 7.3444
Ni -1.7040 2.8509 5.0443
Ni 0.7829 4.6297 8.0959
Ni -2.8634 -7.6623 4.2929
```

Results
- size of the total moment (μB per formula unit) = 0.00
- E_form (uncorrected) (eV/atom) = -0.08
- electronic total energy (eV/atom) = -3.64
- ρ (Mg/m³) = 5.280
- E above lowest polymorph (meV/atom) = 0.0

# Cs2ReI2

An optimized crystal structure of Cs2ReI2 (PBE-GGA, Alexandria).

Structure (extended XYZ):
```
5
Lattice="-1.4765 4.0452 -6.0090 -7.0428 0.6327 2.1565 -2.7062 7.9827 1.4914" Properties=species:S:1:pos:R:3 pbc="T T T"
I -7.0043 5.4772 0.8609
I -4.2212 7.1835 -3.2219
Re 0.0000 0.0000 0.0000
Cs -3.6521 4.5460 -0.5897
Cs -7.5733 8.1146 -1.7713
```

Results
- size of the total moment (μB per formula unit) = 5.00
- E_form (uncorrected) (eV/atom) = 0.40
- electronic total energy (eV/atom) = -3.05
- ρ (Mg/m³) = 3.164
- E above lowest polymorph (meV/atom) = 82.3

# CsRbAuBr

An optimized crystal structure of CsRbAuBr (PBE-GGA, Alexandria).

Structure (extended XYZ):
```
4
Lattice="-2.1838 4.7786 -3.0690 -5.6167 2.0415 1.1435 -0.7826 5.3313 2.8262" Properties=species:S:1:pos:R:3 pbc="T T T"
Cs 0.0000 0.0000 0.0000
Rb -4.2915 6.0757 0.4503
Au -2.1458 3.0378 0.2252
Br -6.4373 9.1135 0.6755
```

Results
- size of the total moment (μB per formula unit) = 0.00
- E_form (uncorrected) (eV/atom) = -0.99
- electronic total energy (eV/atom) = -2.68
- ρ (Mg/m³) = 5.163
- E above lowest polymorph (meV/atom) = 35.1

# MoAsAu2

An optimized crystal structure of MoAsAu2 (PBE-GGA, Alexandria).

Structure (extended XYZ):
```
4
Lattice="3.0598 0.0000 0.0000 0.0000 3.1398 -0.0059 0.0000 1.5953 7.4574" Properties=species:S:1:pos:R:3 pbc="T T T"
Mo 0.0000 2.5620 3.8879
Au 0.0000 2.5569 0.0547
Au 1.5299 0.9891 1.9865
As 1.5299 4.1344 5.2423
```

Results
- size of the total moment (μB per formula unit) = 0.00
- electronic total energy (eV/atom) = -5.38
- ρ (Mg/m³) = 13.085
- formation energy (kJ/mol of atoms) = 12.43

# GaAs2Rh2

An optimized crystal structure of GaAs2Rh2 (PBE-GGA, Alexandria).

Structure (extended XYZ):
```
10
Lattice="7.4860 0.0000 0.0000 0.0000 7.4860 0.0000 0.0000 0.0000 2.9419" Properties=species:S:1:pos:R:3 pbc="T T T"
As 6.3650 2.6220 1.4709
As 1.1210 4.8640 1.4709
As 4.8640 6.3650 1.4709
As 2.6220 1.1210 1.4709
Rh 6.4367 4.7922 0.0000
Rh 4.7922 1.0492 0.0000
Rh 1.0492 2.6938 0.0000
Rh 2.6938 6.4367 0.0000
Ga 3.7430 3.7430 0.0000
Ga 0.0000 0.0000 0.0000
```

Results
- size of the total moment (μB per formula unit) = 0.00
- electronic total energy (eV/atom) = -5.58
- ρ (Mg/m³) = 8.569
- formation energy (kJ/mol of atoms) = -16.69
- E above lowest polymorph (meV/atom) = 105.7

# BeOsAu2

An optimized crystal structure of BeOsAu2 (PBE-GGA, Alexandria).

Structure (extended XYZ):
```
4
Lattice="-2.5800 -0.5624 1.0539 0.4461 -2.7800 -0.3914 2.8121 -0.4818 6.6270" Properties=species:S:1:pos:R:3 pbc="T T T"
Au 2.7647 -0.4737 6.5153
Au -0.2306 -1.8145 2.3023
Be 1.4671 -0.2514 3.4574
Os 0.8951 -2.0073 4.9551
```

Results
- size of the total moment (μB per formula unit) = 0.00
- electronic total energy (eV/atom) = -5.20
- ρ (Mg/m³) = 16.892
- formation energy (kJ/mol of atoms) = 17.03

# Ag2SbPd4

An optimized crystal structure of Ag2SbPd4 (PBE-GGA, Alexandria).

Structure (extended XYZ):
```
7
Lattice="-0.7561 4.3946 0.8370 -1.5995 1.2969 4.0428 6.0537 2.6015 4.1064" Properties=species:S:1:pos:R:3 pbc="T T T"
Pd 3.5779 2.3465 3.2087
Pd -0.7430 3.8795 3.5532
Pd 0.1202 5.9464 5.7775
Pd 4.4410 4.4134 5.4330
Ag 2.6340 6.2053 6.6890
Ag 1.0641 2.0876 2.2972
Sb 0.0000 0.0000 0.0000
```

Results
- size of the total moment (μB per formula unit) = 0.00
- E_form (uncorrected) (eV/atom) = -0.03
- electronic total energy (eV/atom) = -4.40
- ρ (Mg/m³) = 9.727
- E above lowest polymorph (meV/atom) = 63.2

# LiVSe3

An optimized crystal structure of LiVSe3 (PBE-GGA, Alexandria).

Structure (extended XYZ):
```
10
Lattice="3.3981 -1.9619 0.0000 0.0000 3.9238 0.0000 0.0000 0.0000 16.1889" Properties=species:S:1:pos:R:3 pbc="T T T"
Se 2.2654 0.0000 6.8046
Se 1.1327 1.9619 9.3843
Se 0.0000 0.0000 4.0472
Se 1.1327 1.9619 14.8990
Se 0.0000 0.0000 12.1417
Se 2.2654 0.0000 1.2899
V 0.0000 0.0000 0.0000
V 0.0000 0.0000 8.0945
Li 1.1327 1.9619 12.1417
Li 2.2654 0.0000 4.0472
```

Results
- size of the total moment (μB per formula unit) = 2.28
- E_form (uncorrected) (eV/atom) = -0.34
- electronic total energy (eV/atom) = -4.64
- ρ (Mg/m³) = 4.535
- E above lowest polymorph (meV/atom) = 398.6

# Ba2LaMn

An optimized crystal structure of Ba2LaMn (PBE-GGA, Alexandria).

Structure (extended XYZ):
```
8
Lattice="11.9898 0.0000 0.0000 0.0000 11.9898 0.0000 5.9949 5.9949 2.6918" Properties=species:S:1:pos:R:3 pbc="T T T"
Mn 5.9949 11.9898 1.3459
Mn 5.9949 5.9949 0.0000
Ba 14.9872 13.2919 2.0189
Ba 4.6927 8.9923 0.6730
Ba 7.2971 2.9974 0.6730
Ba 8.9923 10.6876 2.0189
La 0.0000 0.0000 0.0000
La 11.9898 5.9949 1.3459
```

Results
- size of the total moment (μB per formula unit) = 2.06
- electronic total energy (eV/atom) = -3.91
- ρ (Mg/m³) = 4.021
- formation energy (kJ/mol of atoms) = 55.87
- E above lowest polymorph (meV/atom) = 295.5

# Nb6ZnW

An optimized crystal structure of Nb6ZnW (PBE-GGA, Alexandria).

Structure (extended XYZ):
```
8
Lattice="4.4552 0.0002 1.3416 -0.4043 4.4367 1.3421 0.2319 0.2532 7.2982" Properties=species:S:1:pos:R:3 pbc="T T T"
Nb 1.3825 3.9538 3.4768
Nb 3.8123 1.7355 3.4766
Nb 1.1218 1.2283 4.3429
Nb 0.4706 2.9546 6.5052
Nb 2.9003 0.7363 6.5050
Nb 3.1610 3.4618 5.6390
W 0.0000 0.0000 0.0000
Zn 2.0255 2.2184 1.3418
```

Results
- size of the total moment (μB per formula unit) = 0.00
- electronic total energy (eV/atom) = -9.30
- ρ (Mg/m³) = 9.485
- formation energy (kJ/mol of atoms) = 2.82

# TbDyTcAg

An optimized crystal structure of TbDyTcAg (PBE-GGA, Alexandria).

Structure (extended XYZ):
```
4
Lattice="-0.3549 -1.8350 -4.6147 3.2223 -3.4612 -1.5573 -1.5277 -4.6859 -0.7050" Properties=species:S:1:pos:R:3 pbc="T T T"
Tc 1.0048 -7.4866 -5.1577
Tb 0.0000 0.0000 0.0000
Ag 0.3349 -2.4955 -1.7192
Dy 0.6698 -4.9911 -3.4385
```

Results
- size of the total moment (μB per formula unit) = 0.00
- electronic total energy (eV/atom) = -5.73
- ρ (Mg/m³) = 10.033
- formation energy (kJ/mol of atoms) = -11.09

# Rb2NpH2O6

An optimized crystal structure of Rb2NpH2O6 (PBE-GGA, Alexandria).

Structure (extended XYZ):
```
11
Lattice="5.3769 0.0000 0.0000 -2.6884 4.6565 0.0000 0.0000 0.0000 6.3046" Properties=species:S:1:pos:R:3 pbc="T T T"
O 1.2453 3.8234 5.1672
O -1.2454 3.8233 5.1672
O 3.9339 0.8332 1.1374
O 0.0001 1.6663 5.1672
O 2.6884 2.9902 1.1374
O 1.4431 0.8331 1.1374
Rb 0.0000 3.1043 2.2475
Rb 2.6884 1.5522 4.0571
H 2.6884 1.5522 1.0496
H 0.0000 3.1043 5.2549
Np 0.0000 0.0000 0.0000
```

Results
- size of the total moment (μB per formula unit) = 1.06
- electronic total energy (eV/atom) = -6.19
- ρ (Mg/m³) = 5.322